1.
Computed, not measured: PrSm12Th5 after structural relaxation at the PBE-GGA level of DFT.

a = 10.8316 Å, b = 10.8316 Å, c = 6.2752 Å
α = 106.40°, β = 106.40°, γ = 59.95°
With the nearest neighbours (Å) after each atom.
Atoms (fractional coordinates):
Pr  0.0000  0.0000  0.0000  10 Sm 3.61-3.68, 2 Th 3.67
Sm  0.0040  0.3332  0.3365  4 Th 3.56-3.66, 7 Sm 3.56-3.70, 1 Pr 3.65
Sm  0.1656  0.8344  0.5000  7 Sm 3.58-3.66, 2 Pr 3.61, 3 Th 3.62-3.64
Sm  0.1698  0.4969  0.1674  7 Sm 3.54-3.66, 5 Th 3.59-3.64
Sm  0.3332  0.0040  0.3365  4 Th 3.56-3.66, 7 Sm 3.56-3.70, 1 Pr 3.65
Sm  0.3401  0.6599  0.0000  7 Sm 3.46-3.70, 4 Th 3.58, 1 Pr 3.68
Sm  0.4969  0.1698  0.1674  7 Sm 3.54-3.66, 5 Th 3.59-3.64
Sm  0.5031  0.8302  0.8326  7 Sm 3.54-3.66, 5 Th 3.59-3.64
Sm  0.6599  0.3401  0.0000  7 Sm 3.46-3.70, 4 Th 3.58, 1 Pr 3.68
Sm  0.6668  0.9960  0.6635  4 Th 3.56-3.66, 7 Sm 3.56-3.70, 1 Pr 3.65
Sm  0.8302  0.5031  0.8326  7 Sm 3.54-3.66, 5 Th 3.59-3.64
Sm  0.8344  0.1656  0.5000  7 Sm 3.58-3.66, 2 Pr 3.61, 3 Th 3.62-3.64
Sm  0.9960  0.6668  0.6635  4 Th 3.56-3.66, 7 Sm 3.56-3.70, 1 Pr 3.65
Th  0.1692  0.1692  0.8282  1 Th 3.55, 10 Sm 3.56-3.66, 1 Pr 3.67
Th  0.3339  0.3339  0.6683  2 Th 3.55-3.60, 10 Sm 3.58-3.63
Th  0.5000  0.5000  0.5000  10 Sm 3.58-3.62, 2 Th 3.60
Th  0.6661  0.6661  0.3317  2 Th 3.55-3.60, 10 Sm 3.58-3.63
Th  0.8308  0.8308  0.1718  1 Th 3.55, 10 Sm 3.56-3.66, 1 Pr 3.67

=====

2.
Computed, not measured: KGaGe after structural relaxation at the PBE-GGA level of DFT.

a = 6.5005 Å, b = 4.0132 Å, c = 6.6307 Å
α = 90.00°, β = 90.34°, γ = 90.00°
With the nearest neighbours (Å) after each atom.
Atoms (fractional coordinates):
K  0.2422  0.2500  0.0784  3 Ge 3.32-3.38, 3 Ga 3.61-3.70
K  0.7578  0.7500  0.9216  3 Ge 3.32-3.38, 3 Ga 3.61-3.70
Ga  0.1500  0.7500  0.5383  1 Ge 2.64, 2 Ga 2.84
Ga  0.8500  0.2500  0.4617  1 Ge 2.64, 2 Ga 2.84
Ge  0.4816  0.2500  0.6277  2 Ge 2.64, 1 Ga 2.64
Ge  0.5184  0.7500  0.3723  2 Ge 2.64, 1 Ga 2.64

=====

Listing Fermi-level density of states for the structures above in their given order: 28.745, 1.890 states/eV per cell.
Listing energy of formation from the pure elements for the structures above in their given order: 6, -4 kJ per mole of atoms.